(1)
LaRePS2: optimized geometry, PBE.

a = 4.792 Å, b = 4.792 Å, c = 4.544 Å
α = 90.00°, β = 90.00°, γ = 90.00°
Positions (direct):
Re 0.000 0.000 0.000
S 0.000 0.500 0.000
S 0.500 0.000 0.000
P 0.000 0.000 0.500
La 0.500 0.500 0.500

Values from the calculation:
raw total energy = -6.780 eV/atom
polymorph energy (0 for the lowest one) = 0 meV/atom

=====

(2)
Dy2Be4Si3Pd: optimized geometry, PBE.

a = 3.846 Å, b = 3.846 Å, c = 9.787 Å
α = 90.00°, β = 90.00°, γ = 90.00°
Positions (direct):
Dy 0.500 0.000 0.245
Dy 0.000 0.500 0.755
Be 0.500 0.500 0.000
Be 0.000 0.000 0.000
Be 0.500 0.000 0.635
Be 0.000 0.500 0.365
Si 0.000 0.000 0.500
Si 0.500 0.000 0.867
Si 0.000 0.500 0.133
Pd 0.500 0.500 0.500

Values from the calculation:
raw total energy = -5.097 eV/atom

=====

N(E_F) (computed, states/eV/cell): 3.8, 2.6